No. 1
Entry from Alexandria: a geometry-optimized Y2Al5Pt4 structure (PBE-GGA). Values from VASP.

The structure in Quantum ESPRESSO input format:
```
&SYSTEM
  ibrav = 0, nat = 11, ntyp = 3
/
ATOMIC_SPECIES
Al 26.98 Al.upf
Y 88.91 Y.upf
Pt 195.08 Pt.upf
ATOMIC_POSITIONS crystal
Al 0.500 0.500 0.000
Al 0.500 0.000 0.000
Y 0.873 0.000 0.255
Pt 0.211 0.318 0.260
Pt 0.471 0.318 0.740
Pt 0.789 0.682 0.740
Al 0.250 0.500 0.500
Al 0.000 0.500 0.000
Al 0.750 0.500 0.500
Y 0.127 0.000 0.745
Pt 0.529 0.682 0.260
CELL_PARAMETERS angstrom
4.885 0.000 2.332
2.442 4.650 1.166
-1.040 0.000 8.462
```

## Properties
**Energy relative to the elements**: -1.026 eV per atom
**Space-group type**: No. 69
**Density**: 8.9 g/cm3

No. 2
Entry from Alexandria: a geometry-optimized YAlPt2 structure (PBE-GGA). Values from VASP.

The structure in Quantum ESPRESSO input format:
```
&SYSTEM
  ibrav = 0, nat = 16, ntyp = 3
/
ATOMIC_SPECIES
Al 26.98 Al.upf
Pt 195.08 Pt.upf
Y 88.91 Y.upf
ATOMIC_POSITIONS crystal
Al 0.644 0.250 0.386
Pt 0.414 0.551 0.315
Pt 0.086 0.949 0.815
Pt 0.914 0.449 0.185
Pt 0.586 0.051 0.685
Pt 0.586 0.449 0.685
Al 0.856 0.250 0.886
Pt 0.414 0.949 0.315
Y 0.853 0.750 0.474
Al 0.144 0.750 0.114
Y 0.647 0.750 0.974
Y 0.353 0.250 0.026
Pt 0.914 0.051 0.185
Al 0.356 0.750 0.614
Pt 0.086 0.551 0.815
Y 0.147 0.250 0.526
CELL_PARAMETERS angstrom
-2.922 4.807 -1.042
0.631 -1.128 -6.977
-6.231 -3.778 0.047
```

## Properties
**Energy relative to the elements**: -1.170 eV per atom
**Space-group type**: No. 62
**Density**: 11.4 g/cm3

No. 3
Entry from Alexandria: a geometry-optimized YAl9Pt2 structure (PBE-GGA). Values from VASP.

The structure in Quantum ESPRESSO input format:
```
&SYSTEM
  ibrav = 0, nat = 24, ntyp = 3
/
ATOMIC_SPECIES
Y 88.91 Y.upf
Al 26.98 Al.upf
Pt 195.08 Pt.upf
ATOMIC_POSITIONS crystal
Y 0.250 0.500 0.500
Al 0.003 0.678 0.921
Al 0.602 0.322 0.079
Al 0.431 0.822 0.421
Al 0.674 0.178 0.579
Al 0.000 0.000 0.000
Al 0.747 0.579 0.822
Al 0.750 0.500 0.500
Al 0.319 0.079 0.678
Al 0.674 0.579 0.178
Al 0.003 0.921 0.678
Al 0.319 0.678 0.079
Al 0.602 0.079 0.322
Y 0.500 0.000 0.000
Pt 0.875 0.250 0.750
Pt 0.875 0.750 0.250
Al 0.076 0.322 0.921
Pt 0.875 0.250 0.250
Al 0.076 0.921 0.322
Al 0.148 0.421 0.178
Pt 0.375 0.750 0.750
Al 0.431 0.421 0.822
Al 0.747 0.822 0.579
Al 0.148 0.178 0.421
CELL_PARAMETERS angstrom
6.489 0.000 2.988
3.245 7.563 1.494
0.082 0.000 8.364
```

## Properties
**Energy relative to the elements**: -0.525 eV per atom
**Space-group type**: No. 141
**Density**: 5.9 g/cm3

No. 4
Entry from Alexandria: a geometry-optimized YAlPt2 structure (PBE-GGA). Values from VASP.

The structure in Quantum ESPRESSO input format:
```
&SYSTEM
  ibrav = 0, nat = 4, ntyp = 3
/
ATOMIC_SPECIES
Y 88.91 Y.upf
Al 26.98 Al.upf
Pt 195.08 Pt.upf
ATOMIC_POSITIONS crystal
Y 0.000 0.479 0.414
Al 0.500 0.766 0.836
Pt 0.000 0.218 0.950
Pt 0.500 0.038 0.299
CELL_PARAMETERS angstrom
4.306 0.000 0.000
0.000 3.550 0.164
0.000 1.584 5.108
```

## Properties
**Energy relative to the elements**: -0.968 eV per atom
**Space-group type**: No. 6
**Density**: 10.9 g/cm3

No. 5
Entry from Alexandria: a geometry-optimized YAl3Pt structure (PBE-GGA). Values from VASP.

The structure in Quantum ESPRESSO input format:
```
&SYSTEM
  ibrav = 0, nat = 5, ntyp = 3
/
ATOMIC_SPECIES
Al 26.98 Al.upf
Pt 195.08 Pt.upf
Y 88.91 Y.upf
ATOMIC_POSITIONS crystal
Al 0.500 0.000 0.000
Al 0.000 0.000 0.500
Pt 0.500 0.500 0.500
Al 0.000 0.500 0.000
Y 0.000 0.000 0.000
CELL_PARAMETERS angstrom
5.300 0.000 0.000
0.000 5.300 0.000
0.000 0.000 5.300
```

## Properties
**Energy relative to the elements**: 1.525 eV per atom
**Space-group type**: No. 221
**Density**: 4.1 g/cm3

No. 6
Entry from Alexandria: a geometry-optimized Y2Al5Pt3 structure (PBE-GGA). Values from VASP.

The structure in Quantum ESPRESSO input format:
```
&SYSTEM
  ibrav = 0, nat = 20, ntyp = 3
/
ATOMIC_SPECIES
Al 26.98 Al.upf
Pt 195.08 Pt.upf
Y 88.91 Y.upf
ATOMIC_POSITIONS crystal
Al 0.054 0.583 0.109
Pt 0.608 0.516 0.215
Al 0.707 0.418 0.414
Al 0.126 0.252 0.252
Al 0.946 0.083 0.891
Y 0.518 0.257 0.036
Y 0.825 0.229 0.650
Al 0.711 0.015 0.422
Pt 0.773 0.714 0.547
Y 0.482 0.757 0.964
Pt 0.051 0.975 0.101
Al 0.602 0.907 0.203
Al 0.398 0.407 0.797
Al 0.289 0.515 0.578
Pt 0.227 0.214 0.453
Pt 0.392 0.016 0.785
Y 0.175 0.729 0.350
Pt 0.949 0.475 0.899
Al 0.874 0.752 0.748
Al 0.293 0.918 0.586
CELL_PARAMETERS angstrom
-2.705 -3.319 -0.569
2.696 -1.158 -6.061
9.754 -6.080 5.501
```

## Properties
**Energy relative to the elements**: -1.028 eV per atom
**Space-group type**: No. 36
**Density**: 8.2 g/cm3

No. 7
Entry from Alexandria: a geometry-optimized YAlPt3 structure (PBE-GGA). Values from VASP.

The structure in Quantum ESPRESSO input format:
```
&SYSTEM
  ibrav = 0, nat = 10, ntyp = 3
/
ATOMIC_SPECIES
Y 88.91 Y.upf
Pt 195.08 Pt.upf
Al 26.98 Al.upf
ATOMIC_POSITIONS crystal
Y 0.500 0.500 0.500
Pt 0.000 0.651 0.351
Pt 0.000 0.849 0.851
Al 0.000 0.000 0.500
Pt 0.500 0.500 0.000
Pt 0.500 0.000 0.500
Al 0.000 0.500 0.000
Pt 0.000 0.349 0.649
Pt 0.000 0.151 0.149
Y 0.500 0.000 0.000
CELL_PARAMETERS angstrom
5.117 0.000 0.000
0.000 6.285 0.000
0.000 0.000 6.213
```

## Properties
**Energy relative to the elements**: -0.729 eV per atom
**Space-group type**: No. 55
**Density**: 11.7 g/cm3
**ΔE to the lowest computed polymorph**: 0.0000 eV/atom

No. 8
Entry from Alexandria: a geometry-optimized YAlZnPt structure (PBE-GGA). Values from VASP.

The structure in Quantum ESPRESSO input format:
```
&SYSTEM
  ibrav = 0, nat = 4, ntyp = 4
/
ATOMIC_SPECIES
Zn 65.41 Zn.upf
Pt 195.08 Pt.upf
Y 88.91 Y.upf
Al 26.98 Al.upf
ATOMIC_POSITIONS crystal
Zn 0.250 0.250 0.250
Pt 0.750 0.750 0.750
Y 0.500 0.500 0.500
Al 0.000 0.000 0.000
CELL_PARAMETERS angstrom
4.692 0.000 0.000
2.346 4.064 0.000
2.346 1.355 3.831
```

## Properties
**Energy relative to the elements**: -0.729 eV per atom
**Space-group type**: No. 216
**Density**: 8.6 g/cm3

No. 9
Entry from Alexandria: a geometry-optimized Y2AlZn3Pt4 structure (PBE-GGA). Values from VASP.

The structure in Quantum ESPRESSO input format:
```
&SYSTEM
  ibrav = 0, nat = 10, ntyp = 4
/
ATOMIC_SPECIES
Al 26.98 Al.upf
Zn 65.41 Zn.upf
Pt 195.08 Pt.upf
Y 88.91 Y.upf
ATOMIC_POSITIONS crystal
Al 0.500 0.500 0.500
Zn 0.500 0.000 0.865
Pt 0.500 0.000 0.635
Y 0.500 0.000 0.239
Pt 0.000 0.000 0.000
Y 0.000 0.500 0.761
Pt 0.500 0.500 0.000
Zn 0.000 0.500 0.135
Zn 0.000 0.000 0.500
Pt 0.000 0.500 0.365
CELL_PARAMETERS angstrom
-1.504 3.782 -0.893
-3.620 -1.015 1.798
3.629 3.656 9.367
```

## Properties
**Energy relative to the elements**: -0.842 eV per atom
**Space-group type**: No. 115
**Density**: 10.6 g/cm3

No. 10
Entry from Alexandria: a geometry-optimized YAlZn2Pt structure (PBE-GGA). Values from VASP.

The structure in Quantum ESPRESSO input format:
```
&SYSTEM
  ibrav = 0, nat = 5, ntyp = 4
/
ATOMIC_SPECIES
Al 26.98 Al.upf
Zn 65.41 Zn.upf
Pt 195.08 Pt.upf
Y 88.91 Y.upf
ATOMIC_POSITIONS crystal
Al 0.188 0.688 0.377
Zn 0.051 0.051 0.103
Pt 0.835 0.835 0.669
Zn 0.701 0.201 0.401
Y 0.437 0.437 0.874
CELL_PARAMETERS angstrom
3.732 0.000 0.000
0.000 4.219 0.000
-1.866 -2.109 5.887
```

## Properties
**Energy relative to the elements**: -0.669 eV per atom
**Space-group type**: No. 44
**Density**: 7.9 g/cm3

No. 11
Entry from Alexandria: a geometry-optimized YAl2ZnPt4 structure (PBE-GGA). Values from VASP.

The structure in Quantum ESPRESSO input format:
```
&SYSTEM
  ibrav = 0, nat = 8, ntyp = 4
/
ATOMIC_SPECIES
Pt 195.08 Pt.upf
Al 26.98 Al.upf
Y 88.91 Y.upf
Zn 65.41 Zn.upf
ATOMIC_POSITIONS crystal
Pt 0.867 0.867 0.398
Pt 0.133 0.133 0.602
Pt 0.599 0.599 0.203
Al 0.759 0.759 0.723
Al 0.241 0.241 0.277
Pt 0.401 0.401 0.797
Y 0.000 0.000 0.000
Zn 0.500 0.500 0.500
CELL_PARAMETERS angstrom
4.284 0.000 0.000
2.142 3.710 0.000
2.142 1.237 8.596
```

## Properties
**Energy relative to the elements**: -0.965 eV per atom
**Space-group type**: No. 166
**Density**: 12.0 g/cm3

No. 12
Entry from Alexandria: a geometry-optimized YAlZnPt2 structure (PBE-GGA). Values from VASP.

The structure in Quantum ESPRESSO input format:
```
&SYSTEM
  ibrav = 0, nat = 5, ntyp = 4
/
ATOMIC_SPECIES
Pt 195.08 Pt.upf
Zn 65.41 Zn.upf
Al 26.98 Al.upf
Y 88.91 Y.upf
ATOMIC_POSITIONS crystal
Pt 0.612 0.612 0.224
Pt 0.388 0.388 0.776
Zn 0.250 0.750 0.500
Al 0.750 0.250 0.500
Y 0.000 0.000 0.000
CELL_PARAMETERS angstrom
3.915 0.000 0.000
0.000 3.915 0.000
-1.957 -1.957 6.072
```

## Properties
**Energy relative to the elements**: -0.969 eV per atom
**Space-group type**: No. 119
**Density**: 10.2 g/cm3